No. 1
A relaxed NdTlIn crystal. Source: Alexandria, functional PBE.

Calculated values
ΔH_f (0 K) (eV per atom): -0.0911
M_tot (μB/f.u.): 0.00
Crystal system: orthorhombic
Energy above the lowest structure with this stoichiometry (meV per atom): 273

Lattice parameters (Å, degrees): 8.687 4.963 4.563 90.00 90.00 90.00
Space group Pmma (No. 51)
Unique sites:
Nd: 0.250 0.000 0.057 x2
Tl: 0.250 0.500 0.528 x2
In: 0.000 0.500 0.000 x2

---

No. 2
A relaxed Ce3URu3 crystal. Source: Alexandria, functional PBE.

Calculated values
ΔH_f (0 K) (eV per atom): -0.2759
M_tot (μB/f.u.): 2.08
Crystal system: monoclinic
Energy above the lowest structure with this stoichiometry (meV per atom): 0

Lattice parameters (Å, degrees): 12.028 3.940 14.451 90.00 113.90 90.00
Space group C2/m (No. 12)
Unique sites:
Ce: 0.027 0.000 0.295 x4
Ce: 0.122 0.500 0.138 x4
Ce: 0.170 0.000 0.570 x4
U: 0.179 0.500 0.891 x4
Ru: 0.063 0.500 0.432 x4
Ru: 0.092 0.000 0.961 x4
Ru: 0.190 0.500 0.729 x4

---

No. 3
A relaxed Zr4W5 crystal. Source: Alexandria, functional PBE.

Calculated values
ΔH_f (0 K) (eV per atom): 0.1679
M_tot (μB/f.u.): 0.00
Crystal system: tetragonal
Energy above the lowest structure with this stoichiometry (meV per atom): 0

Lattice parameters (Å, degrees): 10.080 10.080 3.290 90.00 90.00 90.00
Space group I4/mmm (No. 139)
Unique sites:
Zr: 0.000 0.317 0.000 x8
W: 0.000 0.000 0.000 x2
W: 0.166 0.166 0.500 x8

---

ΔH_f (0 K) of number 1 (NdTlIn)?
-0.0911 eV per atom

---

Copy entry 2 word for word.
A relaxed Ce3URu3 crystal. Source: Alexandria, functional PBE.

Calculated values
ΔH_f (0 K) (eV per atom): -0.2759
M_tot (μB/f.u.): 2.08
Crystal system: monoclinic
Energy above the lowest structure with this stoichiometry (meV per atom): 0

Lattice parameters (Å, degrees): 12.028 3.940 14.451 90.00 113.90 90.00
Space group C2/m (No. 12)
Unique sites:
Ce: 0.027 0.000 0.295 x4
Ce: 0.122 0.500 0.138 x4
Ce: 0.170 0.000 0.570 x4
U: 0.179 0.500 0.891 x4
Ru: 0.063 0.500 0.432 x4
Ru: 0.092 0.000 0.961 x4
Ru: 0.190 0.500 0.729 x4